Record 1
First-principles (PBE) data for an optimized crystal structure of Ho2Er2Ga4Pd, as listed in the Alexandria database.

Results
**Magnetic moment**: 0.00 μB/cell
**DFT total energy**: -0.32082 Ry/atom

Unit cell a=6.5333 b=6.5333 c=6.5333 alpha=115.09 beta=115.09 gamma=98.74
Positions (direct):
Ho  0.1902  0.1902  0.0000
Ho  0.8098  0.8098  0.0000
Er  0.2500  0.7500  0.5000
Er  0.7500  0.2500  0.5000
Ga  0.2501  0.2501  0.5002
Ga  0.2501  0.7499  0.0000
Ga  0.7499  0.2501  0.0000
Ga  0.7499  0.7499  0.4998
Pd  0.5000  0.5000  0.0000


Record 2
First-principles (PBE) data for an optimized crystal structure of DySCl, as listed in the Alexandria database.

Results
**E_form (uncorrected)**: -2.174 eV per atom
**Magnetic moment**: 0.00 μB/cell
**DFT total energy**: -0.41887 Ry/atom

Unit cell a=6.6939 b=6.6844 c=6.8228 alpha=90.00 beta=101.29 gamma=90.00
Positions (direct):
Dy  0.1886  0.0438  0.2942
Dy  0.1886  0.4562  0.7942
Dy  0.8114  0.5438  0.2058
Dy  0.8114  0.9562  0.7058
S  0.0612  0.7432  0.5122
S  0.0612  0.7568  0.0122
S  0.9388  0.2432  0.9878
S  0.9388  0.2568  0.4878
Cl  0.4390  0.1702  0.6578
Cl  0.4390  0.3298  0.1578
Cl  0.5610  0.6702  0.8422
Cl  0.5610  0.8298  0.3422


Q: Look up the magnetic moment of the second one.
A: 0.00 μB/cell


Q: Among the records above, which one has the highest DFT total energy?
A: Ho2Er2Ga4Pd


Q: What is the magnetic moment in the first record?
A: 0.00 μB/cell